Record 1
Compound: Na2ReRu
Source: Alexandria via LeMat-Bulk
Functional: PBE
Structure: relaxed

## Properties
Energy above the lowest structure with this stoichiometry   0.000 eV/atom

Cell and atoms, written as POSCAR:
```
Na2ReRu
1.0
8.2417 0.0000 0.0000
0.0000 8.2417 0.0000
4.1209 4.1209 2.4201
Ru Na Re
2 4 2
Cartesian
4.1209 4.1209 0.0000
4.1209 8.2417 1.2101
6.1813 6.3375 1.8151
10.3022 10.1460 1.8151
6.0251 2.0604 0.6050
2.2166 6.1813 0.6050
0.0000 0.0000 0.0000
8.2417 4.1209 1.2101
```

***

Record 2
Compound: NaSrRe2Ru
Source: Alexandria via LeMat-Bulk
Functional: PBE
Structure: relaxed

## Properties
Total energy   -4.62 eV/atom

Cell and atoms, written as POSCAR:
```
NaSrRe2Ru
1.0
-2.9437 -3.6144 0.7201
0.8137 -1.5510 -4.4588
3.5973 -2.6176 1.5670
Ru Re Sr Na
1 2 1 1
Cartesian
0.7337 -3.8915 -1.0859
1.7987 -1.3088 0.7835
-1.4718 -1.8072 0.3600
0.4068 -0.7755 -2.2294
0.0000 0.0000 0.0000
```

***

Record 3
Compound: NaTlRe2Ru
Source: Alexandria via LeMat-Bulk
Functional: PBE
Structure: relaxed

## Properties
Total energy   -4.76 eV/atom

Cell and atoms, written as POSCAR:
```
NaTlRe2Ru
1.0
5.1539 0.0000 0.0000
0.0000 5.1077 0.0000
0.0000 0.0000 5.1539
Na Re Tl Ru
1 2 1 1
Cartesian
2.5769 2.5539 2.5769
2.5769 0.0000 0.0000
0.0000 0.0000 2.5769
0.0000 0.0000 0.0000
0.0000 2.5539 0.0000
```

***

Record 4
Compound: NaReRuW2
Source: Alexandria via LeMat-Bulk
Functional: PBE
Structure: relaxed

## Properties
Total energy   -7.44 eV/atom

Cell and atoms, written as POSCAR:
```
NaReRuW2
1.0
-4.0841 1.7937 -1.5555
0.1446 -2.9013 -3.7254
-2.4689 -3.4050 2.5559
W Re Ru Na
2 1 1 1
Cartesian
-2.0421 0.8969 -0.7777
0.0723 -1.4506 -1.8627
0.0000 0.0000 0.0000
-3.2042 -2.2563 -1.3625
-1.2345 -1.7025 1.2780
```